No. 1
YSn12Pt4: relaxed, PBE. Values from VASP.

Output
Volume in Å³ per atom: 25.29
Theoretical density in g/cm3: 8.860
DOS at the Fermi energy in states/eV/cell: 11.287
Formation energy from the elements in kJ/mol of formula units: -619
Spin magnetization in μB/f.u.: 0.00

```
&SYSTEM
  ibrav = 0, nat = 17, ntyp = 3
/
ATOMIC_SPECIES
Y 88.91 Y.upf
Sn 118.71 Sn.upf
Pt 195.08 Pt.upf
ATOMIC_POSITIONS crystal
Y 0.000 0.000 0.000
Sn 0.157 0.342 0.499
Sn 0.157 0.658 0.816
Sn 0.184 0.843 0.342
Sn 0.342 0.184 0.843
Sn 0.342 0.499 0.157
Sn 0.499 0.157 0.342
Sn 0.501 0.843 0.658
Sn 0.658 0.501 0.843
Sn 0.658 0.816 0.157
Sn 0.816 0.157 0.658
Sn 0.843 0.342 0.184
Sn 0.843 0.658 0.501
Pt 0.000 0.000 0.500
Pt 0.000 0.500 0.000
Pt 0.500 0.000 0.000
Pt 0.500 0.500 0.500
CELL_PARAMETERS angstrom
-4.754 4.754 4.754
4.754 -4.754 4.754
4.754 4.754 -4.754
```

---

No. 2
Ce2TiC: relaxed, PBE. Values from VASP.

Output
Volume in Å³ per atom: 20.85
Theoretical density in g/cm3: 6.773
DOS at the Fermi energy in states/eV/cell: 7.567
Formation energy from the elements in kJ/mol of formula units: 93
Spin magnetization in μB/f.u.: 1.24

```
&SYSTEM
  ibrav = 0, nat = 4, ntyp = 3
/
ATOMIC_SPECIES
Ce 140.12 Ce.upf
Ti 47.87 Ti.upf
C 12.01 C.upf
ATOMIC_POSITIONS crystal
Ce 0.109 0.109 0.109
Ce 0.891 0.891 0.891
Ti 0.000 0.000 0.000
C 0.500 0.500 0.500
CELL_PARAMETERS angstrom
1.663 0.960 8.703
-1.663 0.960 8.703
0.000 -1.920 8.703
```

---

No. 3
Pa8Ag: relaxed, PBE. Values from VASP.

Output
Volume in Å³ per atom: 24.29
Theoretical density in g/cm3: 14.859
DOS at the Fermi energy in states/eV/cell: 17.675
Formation energy from the elements in kJ/mol of formula units: 78
Spin magnetization in μB/f.u.: 0.00

```
&SYSTEM
  ibrav = 0, nat = 9, ntyp = 2
/
ATOMIC_SPECIES
Pa 231.04 Pa.upf
Ag 107.87 Ag.upf
ATOMIC_POSITIONS crystal
Pa 0.000 0.331 0.331
Pa 0.000 0.669 0.669
Pa 0.331 0.000 0.331
Pa 0.333 0.333 0.666
Pa 0.333 0.667 0.000
Pa 0.667 0.333 0.000
Pa 0.667 0.667 0.334
Pa 0.669 0.000 0.669
Ag 0.000 0.000 0.000
CELL_PARAMETERS angstrom
-5.827 5.827 1.610
5.827 -5.827 1.610
5.827 5.827 -1.610
```

---

No. 4
CeGeB: relaxed, PBE. Values from VASP.

Output
Volume in Å³ per atom: 17.16
Theoretical density in g/cm3: 7.213
DOS at the Fermi energy in states/eV/cell: 21.847
Formation energy from the elements in kJ/mol of formula units: -3
Spin magnetization in μB/f.u.: 0.29

```
&SYSTEM
  ibrav = 0, nat = 18, ntyp = 3
/
ATOMIC_SPECIES
Ce 140.12 Ce.upf
Ge 72.64 Ge.upf
B 10.81 B.upf
ATOMIC_POSITIONS crystal
Ce 0.000 0.000 0.000
Ce 0.000 0.000 0.333
Ce 0.000 0.000 0.667
Ce 0.000 0.500 0.167
Ce 0.500 0.000 0.500
Ce 0.500 0.500 0.833
Ge 0.000 0.500 0.455
Ge 0.000 0.500 0.878
Ge 0.500 0.000 0.212
Ge 0.500 0.000 0.788
Ge 0.500 0.500 0.122
Ge 0.500 0.500 0.545
B 0.164 0.582 0.667
B 0.418 0.582 0.333
B 0.418 0.836 0.000
B 0.582 0.164 0.000
B 0.582 0.418 0.333
B 0.836 0.418 0.667
CELL_PARAMETERS angstrom
5.859 0.000 0.000
-2.930 5.074 0.000
0.000 0.000 10.386
```